# Er2MgGaAu4 (PBE, relaxed)
# Calculated density: 12.50 g/cm3
# Total DFT energy (no corrections): -32.7 eV/cell
# Space group: R-3m (166)
data_Er2MgGaAu4
_chemical_formula_sum 'Er2 Mg1 Ga1 Au4'
_space_group_name_H-M_alt 'P 1'
_space_group_IT_number 1
_space_group_name_Hall 'P 1'
_cell_length_a 4.849
_cell_length_b 4.849
_cell_length_c 8.412
_cell_angle_alpha 73.25
_cell_angle_beta 73.25
_cell_angle_gamma 60.00
loop_
_atom_site_label
_atom_site_type_symbol
_atom_site_fract_x
_atom_site_fract_y
_atom_site_fract_z
_atom_site_occupancy
Ga1 Ga 0.500 0.500 0.500 1
Au1 Au 0.121 0.121 0.636 1
Au2 Au 0.628 0.628 0.115 1
Au3 Au 0.372 0.372 0.885 1
Au4 Au 0.879 0.879 0.364 1
Er1 Er 0.754 0.754 0.739 1
Er2 Er 0.246 0.246 0.261 1
Mg1 Mg 0.000 0.000 0.000 1



# ErMgGa2Au2 (PBE, relaxed)
# Calculated density: 10.34 g/cm3
# Total DFT energy (no corrections): -22.4 eV/cell
# Space group: P-3m1 (164)
data_ErMgGa2Au2
_chemical_formula_sum 'Er1 Mg1 Ga2 Au2'
_space_group_name_H-M_alt 'P 1'
_space_group_IT_number 1
_space_group_name_Hall 'P 1'
_cell_length_a 4.500
_cell_length_b 4.500
_cell_length_c 6.638
_cell_angle_alpha 90.00
_cell_angle_beta 90.00
_cell_angle_gamma 120.00
loop_
_atom_site_label
_atom_site_type_symbol
_atom_site_fract_x
_atom_site_fract_y
_atom_site_fract_z
_atom_site_occupancy
Er1 Er 0.000 0.000 0.000 1
Au1 Au 0.333 0.667 0.266 1
Au2 Au 0.667 0.333 0.734 1
Ga1 Ga 0.667 0.333 0.260 1
Ga2 Ga 0.333 0.667 0.740 1
Mg1 Mg 0.000 0.000 0.500 1



# Er2MgGa3Au4 (PBE, relaxed)
# Calculated density: 11.06 g/cm3
# Total DFT energy (no corrections): -38.7 eV/cell
# Space group: P-4m2 (115)
data_Er2MgGa3Au4
_chemical_formula_sum 'Er2 Mg1 Ga3 Au4'
_space_group_name_H-M_alt 'P 1'
_space_group_IT_number 1
_space_group_name_Hall 'P 1'
_cell_length_a 4.249
_cell_length_b 4.249
_cell_length_c 11.274
_cell_angle_alpha 90.00
_cell_angle_beta 90.00
_cell_angle_gamma 90.00
loop_
_atom_site_label
_atom_site_type_symbol
_atom_site_fract_x
_atom_site_fract_y
_atom_site_fract_z
_atom_site_occupancy
Au1 Au 0.000 0.000 0.000 1
Au2 Au 0.500 0.000 0.646 1
Au3 Au 0.000 0.500 0.354 1
Au4 Au 0.500 0.500 0.000 1
Mg1 Mg 0.500 0.500 0.500 1
Ga1 Ga 0.000 0.000 0.500 1
Ga2 Ga 0.000 0.500 0.134 1
Ga3 Ga 0.500 0.000 0.866 1
Er1 Er 0.500 0.000 0.233 1
Er2 Er 0.000 0.500 0.767 1



# ErMgGa2Au5 (PBE, relaxed)
# Calculated density: 12.77 g/cm3
# Total DFT energy (no corrections): -32.8 eV/cell
# Space group: P4/mmm (123)
data_ErMgGa2Au5
_chemical_formula_sum 'Er1 Mg1 Ga2 Au5'
_space_group_name_H-M_alt 'P 1'
_space_group_IT_number 1
_space_group_name_Hall 'P 1'
_cell_length_a 4.326
_cell_length_b 4.326
_cell_length_c 9.142
_cell_angle_alpha 90.00
_cell_angle_beta 90.00
_cell_angle_gamma 90.00
loop_
_atom_site_label
_atom_site_type_symbol
_atom_site_fract_x
_atom_site_fract_y
_atom_site_fract_z
_atom_site_occupancy
Au1 Au 0.000 0.500 0.717 1
Au2 Au 0.500 0.000 0.717 1
Au3 Au 0.500 0.000 0.283 1
Au4 Au 0.000 0.500 0.283 1
Au5 Au 0.500 0.500 0.500 1
Ga1 Ga 0.500 0.500 0.131 1
Ga2 Ga 0.500 0.500 0.869 1
Mg1 Mg 0.000 0.000 0.500 1
Er1 Er 0.000 0.000 0.000 1



# NaErGaAu (PBE, relaxed)
# Calculated density: 8.82 g/cm3
# Total DFT energy (no corrections): -13.8 eV/cell
# Space group: F-43m (216)
data_NaErGaAu
_chemical_formula_sum 'Na1 Er1 Ga1 Au1'
_space_group_name_H-M_alt 'P 1'
_space_group_IT_number 1
_space_group_name_Hall 'P 1'
_cell_length_a 4.955
_cell_length_b 4.955
_cell_length_c 4.955
_cell_angle_alpha 60.00
_cell_angle_beta 60.00
_cell_angle_gamma 60.00
loop_
_atom_site_label
_atom_site_type_symbol
_atom_site_fract_x
_atom_site_fract_y
_atom_site_fract_z
_atom_site_occupancy
Au1 Au 0.750 0.750 0.750 1
Ga1 Ga 0.250 0.250 0.250 1
Na1 Na 0.500 0.500 0.500 1
Er1 Er 0.000 0.000 0.000 1



# NaErGa2Au2 (PBE, relaxed)
# Calculated density: 9.43 g/cm3
# Total DFT energy (no corrections): -21.7 eV/cell
# Space group: P-3m1 (164)
data_NaErGa2Au2
_chemical_formula_sum 'Na1 Er1 Ga2 Au2'
_space_group_name_H-M_alt 'P 1'
_space_group_IT_number 1
_space_group_name_Hall 'P 1'
_cell_length_a 4.546
_cell_length_b 4.546
_cell_length_c 7.123
_cell_angle_alpha 90.00
_cell_angle_beta 90.00
_cell_angle_gamma 120.00
loop_
_atom_site_label
_atom_site_type_symbol
_atom_site_fract_x
_atom_site_fract_y
_atom_site_fract_z
_atom_site_occupancy
Na1 Na 0.000 0.000 0.000 1
Ga1 Ga 0.333 0.667 0.740 1
Ga2 Ga 0.667 0.333 0.260 1
Au1 Au 0.667 0.333 0.720 1
Au2 Au 0.333 0.667 0.280 1
Er1 Er 0.000 0.000 0.500 1



# NdErGa2Au5 (PBE, relaxed)
# Calculated density: 12.58 g/cm3
# Total DFT energy (no corrections): -36.3 eV/cell
# Space group: P4/mmm (123)
data_NdErGa2Au5
_chemical_formula_sum 'Nd1 Er1 Ga2 Au5'
_space_group_name_H-M_alt 'P 1'
_space_group_IT_number 1
_space_group_name_Hall 'P 1'
_cell_length_a 4.715
_cell_length_b 4.715
_cell_length_c 8.522
_cell_angle_alpha 90.00
_cell_angle_beta 90.00
_cell_angle_gamma 90.00
loop_
_atom_site_label
_atom_site_type_symbol
_atom_site_fract_x
_atom_site_fract_y
_atom_site_fract_z
_atom_site_occupancy
Au1 Au 0.000 0.500 0.260 1
Au2 Au 0.000 0.500 0.740 1
Au3 Au 0.500 0.000 0.740 1
Au4 Au 0.500 0.500 0.500 1
Au5 Au 0.500 0.000 0.260 1
Ga1 Ga 0.500 0.500 0.856 1
Ga2 Ga 0.500 0.500 0.144 1
Nd1 Nd 0.000 0.000 0.500 1
Er1 Er 0.000 0.000 0.000 1



# NdErGa2Au2 (PBE, relaxed)
# Calculated density: 10.73 g/cm3
# Total DFT energy (no corrections): -26.6 eV/cell
# Space group: P-3m1 (164)
data_NdErGa2Au2
_chemical_formula_sum 'Nd1 Er1 Ga2 Au2'
_space_group_name_H-M_alt 'P 1'
_space_group_IT_number 1
_space_group_name_Hall 'P 1'
_cell_length_a 4.553
_cell_length_b 4.553
_cell_length_c 7.286
_cell_angle_alpha 90.00
_cell_angle_beta 90.00
_cell_angle_gamma 120.00
loop_
_atom_site_label
_atom_site_type_symbol
_atom_site_fract_x
_atom_site_fract_y
_atom_site_fract_z
_atom_site_occupancy
Er1 Er 0.000 0.000 0.500 1
Au1 Au 0.667 0.333 0.725 1
Au2 Au 0.333 0.667 0.275 1
Ga1 Ga 0.333 0.667 0.732 1
Ga2 Ga 0.667 0.333 0.268 1
Nd1 Nd 0.000 0.000 0.000 1



# NdErGaAu (PBE, relaxed)
# Polymorph energy (0 for the lowest one): 0.000 eV/atom
# Calculated density: 9.65 g/cm3
# Total DFT energy (no corrections): -18.4 eV/cell
# Space group: Amm2 (38)
data_NdErGaAu
_chemical_formula_sum 'Nd1 Er1 Ga1 Au1'
_space_group_name_H-M_alt 'P 1'
_space_group_IT_number 1
_space_group_name_Hall 'P 1'
_cell_length_a 3.840
_cell_length_b 4.537
_cell_length_c 6.024
_cell_angle_alpha 90.00
_cell_angle_beta 108.58
_cell_angle_gamma 90.00
loop_
_atom_site_label
_atom_site_type_symbol
_atom_site_fract_x
_atom_site_fract_y
_atom_site_fract_z
_atom_site_occupancy
Er1 Er 0.139 0.000 0.278 1
Au1 Au 0.582 0.500 0.164 1
Ga1 Ga 0.425 0.000 0.850 1
Nd1 Nd 0.854 0.500 0.708 1



# NdErGaAu (PBE, relaxed)
# Polymorph energy (0 for the lowest one): 0.038 eV/atom
# Calculated density: 9.83 g/cm3
# Total DFT energy (no corrections): -18.2 eV/cell
# Space group: F-43m (216)
data_NdErGaAu
_chemical_formula_sum 'Nd1 Er1 Ga1 Au1'
_space_group_name_H-M_alt 'P 1'
_space_group_IT_number 1
_space_group_name_Hall 'P 1'
_cell_length_a 5.170
_cell_length_b 5.170
_cell_length_c 5.170
_cell_angle_alpha 60.00
_cell_angle_beta 60.00
_cell_angle_gamma 60.00
loop_
_atom_site_label
_atom_site_type_symbol
_atom_site_fract_x
_atom_site_fract_y
_atom_site_fract_z
_atom_site_occupancy
Er1 Er 0.500 0.500 0.500 1
Au1 Au 0.750 0.750 0.750 1
Nd1 Nd 0.000 0.000 0.000 1
Ga1 Ga 0.250 0.250 0.250 1



# Er2Ga4Ni3Au (PBE, relaxed)
# Calculated density: 9.63 g/cm3
# Total DFT energy (no corrections): -47.6 eV/cell
# Space group: P-4m2 (115)
data_Er2Ga4Ni3Au
_chemical_formula_sum 'Er2 Ga4 Ni3 Au1'
_space_group_name_H-M_alt 'P 1'
_space_group_IT_number 1
_space_group_name_Hall 'P 1'
_cell_length_a 4.018
_cell_length_b 4.018
_cell_length_c 10.535
_cell_angle_alpha 90.00
_cell_angle_beta 90.00
_cell_angle_gamma 90.00
loop_
_atom_site_label
_atom_site_type_symbol
_atom_site_fract_x
_atom_site_fract_y
_atom_site_fract_z
_atom_site_occupancy
Au1 Au 0.500 0.500 0.500 1
Ga1 Ga 0.000 0.500 0.353 1
Ga2 Ga 0.500 0.000 0.647 1
Ga3 Ga 0.500 0.500 0.000 1
Ga4 Ga 0.000 0.000 0.000 1
Er1 Er 0.000 0.500 0.767 1
Er2 Er 0.500 0.000 0.233 1
Ni1 Ni 0.000 0.500 0.131 1
Ni2 Ni 0.500 0.000 0.869 1
Ni3 Ni 0.000 0.000 0.500 1



# ErPaGaAu (PBE, relaxed)
# Calculated density: 11.89 g/cm3
# Total DFT energy (no corrections): -21.7 eV/cell
# Space group: F-43m (216)
data_ErPaGaAu
_chemical_formula_sum 'Er1 Pa1 Ga1 Au1'
_space_group_name_H-M_alt 'P 1'
_space_group_IT_number 1
_space_group_name_Hall 'P 1'
_cell_length_a 5.083
_cell_length_b 5.083
_cell_length_c 5.083
_cell_angle_alpha 60.00
_cell_angle_beta 60.00
_cell_angle_gamma 60.00
loop_
_atom_site_label
_atom_site_type_symbol
_atom_site_fract_x
_atom_site_fract_y
_atom_site_fract_z
_atom_site_occupancy
Er1 Er 0.500 0.500 0.500 1
Au1 Au 0.750 0.750 0.750 1
Ga1 Ga 0.250 0.250 0.250 1
Pa1 Pa 0.000 0.000 0.000 1